a | {
  "formula": "SrBeNF2",
  "functional": "PBE",
  "state": "relaxed",
  "sg": "P4/mmm (123)",
  "lattice_angstrom": [[4.6138, 0.0000, 0.0000], [0.0000, 4.6138, 0.0000], [0.0000, 0.0000, 5.2608]],
  "species": ["Sr", "Be", "N", "F", "F"],
  "fractional_positions": [[0.0000, 0.0000, 0.0000], [0.5000, 0.5000, 0.5000], [0.0000, 0.0000, 0.5000], [0.0000, 0.5000, 0.0000], [0.5000, 0.0000, 0.0000]]
}

---

b | {
  "formula": "SrBeNF2",
  "functional": "PBE",
  "state": "relaxed",
  "sg": "Pmmm (47)",
  "lattice_angstrom": [[3.5247, 0.0000, 0.0000], [0.0000, 3.7456, 0.0000], [0.0000, 0.0000, 4.3031]],
  "species": ["Sr", "Be", "N", "F", "F"],
  "fractional_positions": [[0.0000, 0.0000, 0.0000], [0.5000, 0.5000, 0.5000], [0.0000, 0.5000, 0.5000], [0.5000, 0.0000, 0.5000], [0.5000, 0.5000, 0.0000]]
}

---

Energy comparison, zero being the most stable, in kJ/mol of atoms: a 143.9; b 0.0.

---

a | {
  "formula": "TaBeNF2",
  "functional": "PBE",
  "state": "relaxed",
  "sg": "P4/mmm (123)",
  "lattice_angstrom": [[4.1459, 0.0000, 0.0000], [0.0000, 4.1459, 0.0000], [0.0000, 0.0000, 4.0085]],
  "species": ["Ta", "Be", "N", "F", "F"],
  "fractional_positions": [[0.0000, 0.0000, 0.0000], [0.5000, 0.5000, 0.5000], [0.0000, 0.0000, 0.5000], [0.0000, 0.5000, 0.0000], [0.5000, 0.0000, 0.0000]]
}

---

b | {
  "formula": "TaBeNF2",
  "functional": "PBE",
  "state": "relaxed",
  "sg": "P4/mmm (123)",
  "lattice_angstrom": [[3.0864, 0.0000, 0.0000], [0.0000, 3.0864, 0.0000], [0.0000, 0.0000, 7.0032]],
  "species": ["Ta", "Be", "N", "F", "F"],
  "fractional_positions": [[0.0000, 0.0000, 0.0000], [0.5000, 0.5000, 0.5000], [0.5000, 0.5000, 0.0000], [0.0000, 0.5000, 0.5000], [0.5000, 0.0000, 0.5000]]
}

---

Energy comparison, zero being the most stable, in kJ/mol of atoms: a 75.9; b 0.0.

---

a | {
  "formula": "TaBeN2F",
  "functional": "PBE",
  "state": "relaxed",
  "sg": "P4/mmm (123)",
  "lattice_angstrom": [[4.0623, 0.0000, 0.0000], [0.0000, 4.0623, 0.0000], [0.0000, 0.0000, 3.9552]],
  "species": ["Ta", "Be", "N", "N", "F"],
  "fractional_positions": [[0.0000, 0.0000, 0.0000], [0.5000, 0.5000, 0.5000], [0.0000, 0.5000, 0.0000], [0.5000, 0.0000, 0.0000], [0.0000, 0.0000, 0.5000]]
}

---

b | {
  "formula": "TaBeN2F",
  "functional": "PBE",
  "state": "relaxed",
  "sg": "P4/mmm (123)",
  "lattice_angstrom": [[3.6648, 0.0000, 0.0000], [0.0000, 3.6648, 0.0000], [0.0000, 0.0000, 3.1058]],
  "species": ["Ta", "Be", "N", "N", "F"],
  "fractional_positions": [[0.0000, 0.0000, 0.0000], [0.5000, 0.5000, 0.5000], [0.0000, 0.5000, 0.5000], [0.5000, 0.0000, 0.5000], [0.5000, 0.5000, 0.0000]]
}

---

Energy comparison, zero being the most stable, in kJ/mol of atoms: a 31.6; b 0.0.

---

a | {
  "formula": "BeTe2NF",
  "functional": "PBE",
  "state": "relaxed",
  "sg": "P4/mmm (123)",
  "lattice_angstrom": [[5.2248, 0.0000, 0.0000], [0.0000, 5.2248, 0.0000], [0.0000, 0.0000, 3.0812]],
  "species": ["Be", "Te", "Te", "N", "F"],
  "fractional_positions": [[0.0000, 0.0000, 0.0000], [0.0000, 0.5000, 0.0000], [0.5000, 0.0000, 0.0000], [0.0000, 0.0000, 0.5000], [0.5000, 0.5000, 0.5000]]
}

---

b | {
  "formula": "BeTe2NF",
  "functional": "PBE",
  "state": "relaxed",
  "sg": "P4/mmm (123)",
  "lattice_angstrom": [[4.8389, 0.0000, 0.0000], [0.0000, 4.8389, 0.0000], [0.0000, 0.0000, 3.8632]],
  "species": ["Be", "Te", "Te", "N", "F"],
  "fractional_positions": [[0.0000, 0.0000, 0.0000], [0.0000, 0.5000, 0.5000], [0.5000, 0.0000, 0.5000], [0.5000, 0.5000, 0.0000], [0.5000, 0.5000, 0.5000]]
}

---

Energy comparison, zero being the most stable, in kJ/mol of atoms: a 0.0; b 114.1.

---

a | {
  "formula": "BeTlNF2",
  "functional": "PBE",
  "state": "relaxed",
  "sg": "P4/mmm (123)",
  "lattice_angstrom": [[3.3450, 0.0000, 0.0000], [0.0000, 3.3450, 0.0000], [0.0000, 0.0000, 5.0219]],
  "species": ["Be", "Tl", "N", "F", "F"],
  "fractional_positions": [[0.0000, 0.0000, 0.0000], [0.5000, 0.5000, 0.5000], [0.0000, 0.0000, 0.5000], [0.0000, 0.5000, 0.0000], [0.5000, 0.0000, 0.0000]]
}

---

b | {
  "formula": "BeTlNF2",
  "functional": "PBE",
  "state": "relaxed",
  "sg": "P4/mmm (123)",
  "lattice_angstrom": [[4.4215, 0.0000, 0.0000], [0.0000, 4.4215, 0.0000], [0.0000, 0.0000, 4.3088]],
  "species": ["Be", "Tl", "N", "F", "F"],
  "fractional_positions": [[0.0000, 0.0000, 0.0000], [0.5000, 0.5000, 0.5000], [0.5000, 0.5000, 0.0000], [0.0000, 0.5000, 0.5000], [0.5000, 0.0000, 0.5000]]
}

---

Energy comparison, zero being the most stable, in kJ/mol of atoms: a 0.0; b 141.6.